# GGA-PBE CoHgB, relaxed
# energy above the most stable polymorph in this dataset	0.000	eV/atom
data_CoHgB
_cell_length_a 5.380
_cell_length_b 5.380
_cell_length_c 5.380
_cell_angle_alpha 90.00
_cell_angle_beta 90.00
_cell_angle_gamma 90.00
_space_group_name_H-M_alt 'F -4 3 m'
_space_group_IT_number 216
_space_group_name_Hall 'F -4 2 3'
loop_
_atom_site_label
_atom_site_fract_x
_atom_site_fract_y
_atom_site_fract_z
Co1 0.000 0.000 0.000
Hg1 0.000 0.000 0.500
B1 0.250 0.250 0.750

# GGA-PBE CoHgB4, relaxed
# energy above the most stable polymorph in this dataset	0.000	eV/atom
data_CoHgB4
_cell_length_a 2.9585
_cell_length_b 2.9585
_cell_length_c 9.0821
_cell_angle_alpha 90.00
_cell_angle_beta 90.00
_cell_angle_gamma 120.00
_space_group_name_H-M_alt 'P 6/m m m'
_space_group_IT_number 191
_space_group_name_Hall '-P 6 2'
loop_
_atom_site_label
_atom_site_fract_x
_atom_site_fract_y
_atom_site_fract_z
Co1 0.0000 0.0000 0.0000
Hg1 0.0000 0.0000 0.5000
B1 0.3333 0.6667 0.1561

# GGA-PBE CoHgBIr, relaxed
# energy above the most stable polymorph in this dataset	0.000	eV/atom
data_CoHgBIr
_cell_length_a 5.987
_cell_length_b 5.987
_cell_length_c 5.987
_cell_angle_alpha 90.00
_cell_angle_beta 90.00
_cell_angle_gamma 90.00
_space_group_name_H-M_alt 'F -4 3 m'
_space_group_IT_number 216
_space_group_name_Hall 'F -4 2 3'
loop_
_atom_site_label
_atom_site_fract_x
_atom_site_fract_y
_atom_site_fract_z
Co1 0.000 0.000 0.000
Hg1 0.250 0.250 0.250
B1 0.250 0.250 0.750
Ir1 0.000 0.000 0.500

# GGA-PBE LiCoHgB, relaxed
# energy above the most stable polymorph in this dataset	0.000	eV/atom
data_LiCoHgB
_cell_length_a 5.706
_cell_length_b 5.706
_cell_length_c 5.706
_cell_angle_alpha 90.00
_cell_angle_beta 90.00
_cell_angle_gamma 90.00
_space_group_name_H-M_alt 'F -4 3 m'
_space_group_IT_number 216
_space_group_name_Hall 'F -4 2 3'
loop_
_atom_site_label
_atom_site_fract_x
_atom_site_fract_y
_atom_site_fract_z
Li1 0.000 0.000 0.000
Co1 0.250 0.250 0.750
Hg1 0.250 0.250 0.250
B1 0.000 0.000 0.500

# GGA-PBE LuCoHgB, relaxed
# energy above the most stable polymorph in this dataset	0.247	eV/atom
data_LuCoHgB
_cell_length_a 6.346
_cell_length_b 6.346
_cell_length_c 6.346
_cell_angle_alpha 90.00
_cell_angle_beta 90.00
_cell_angle_gamma 90.00
_space_group_name_H-M_alt 'F -4 3 m'
_space_group_IT_number 216
_space_group_name_Hall 'F -4 2 3'
loop_
_atom_site_label
_atom_site_fract_x
_atom_site_fract_y
_atom_site_fract_z
Lu1 0.000 0.000 0.000
Co1 0.250 0.250 0.750
Hg1 0.250 0.250 0.250
B1 0.000 0.000 0.500

# GGA-PBE LuCoHgB, relaxed
# energy above the most stable polymorph in this dataset	0.000	eV/atom
data_LuCoHgB
_cell_length_a 6.307
_cell_length_b 6.307
_cell_length_c 6.307
_cell_angle_alpha 90.00
_cell_angle_beta 90.00
_cell_angle_gamma 90.00
_space_group_name_H-M_alt 'F -4 3 m'
_space_group_IT_number 216
_space_group_name_Hall 'F -4 2 3'
loop_
_atom_site_label
_atom_site_fract_x
_atom_site_fract_y
_atom_site_fract_z
Lu1 0.000 0.000 0.000
Co1 0.000 0.000 0.500
Hg1 0.250 0.250 0.750
B1 0.250 0.250 0.250

# GGA-PBE CoHgBMo, relaxed
# energy above the most stable polymorph in this dataset	0.000	eV/atom
data_CoHgBMo
_cell_length_a 6.002
_cell_length_b 6.002
_cell_length_c 6.002
_cell_angle_alpha 90.00
_cell_angle_beta 90.00
_cell_angle_gamma 90.00
_space_group_name_H-M_alt 'F -4 3 m'
_space_group_IT_number 216
_space_group_name_Hall 'F -4 2 3'
loop_
_atom_site_label
_atom_site_fract_x
_atom_site_fract_y
_atom_site_fract_z
Co1 0.000 0.000 0.000
Hg1 0.250 0.250 0.250
B1 0.250 0.250 0.750
Mo1 0.000 0.000 0.500

# GGA-PBE CoHgBMo, relaxed
# energy above the most stable polymorph in this dataset	0.286	eV/atom
data_CoHgBMo
_cell_length_a 6.055
_cell_length_b 6.055
_cell_length_c 6.055
_cell_angle_alpha 90.00
_cell_angle_beta 90.00
_cell_angle_gamma 90.00
_space_group_name_H-M_alt 'F -4 3 m'
_space_group_IT_number 216
_space_group_name_Hall 'F -4 2 3'
loop_
_atom_site_label
_atom_site_fract_x
_atom_site_fract_y
_atom_site_fract_z
Co1 0.000 0.000 0.000
Hg1 0.000 0.000 0.500
B1 0.250 0.250 0.750
Mo1 0.250 0.250 0.250

# GGA-PBE NbCoHgB, relaxed
# energy above the most stable polymorph in this dataset	0.000	eV/atom
data_NbCoHgB
_cell_length_a 6.116
_cell_length_b 6.116
_cell_length_c 6.116
_cell_angle_alpha 90.00
_cell_angle_beta 90.00
_cell_angle_gamma 90.00
_space_group_name_H-M_alt 'F -4 3 m'
_space_group_IT_number 216
_space_group_name_Hall 'F -4 2 3'
loop_
_atom_site_label
_atom_site_fract_x
_atom_site_fract_y
_atom_site_fract_z
Nb1 0.000 0.000 0.000
Co1 0.000 0.000 0.500
Hg1 0.250 0.250 0.750
B1 0.250 0.250 0.250

# GGA-PBE NbCoHgB, relaxed
# energy above the most stable polymorph in this dataset	0.220	eV/atom
data_NbCoHgB
_cell_length_a 6.139
_cell_length_b 6.139
_cell_length_c 6.139
_cell_angle_alpha 90.00
_cell_angle_beta 90.00
_cell_angle_gamma 90.00
_space_group_name_H-M_alt 'F -4 3 m'
_space_group_IT_number 216
_space_group_name_Hall 'F -4 2 3'
loop_
_atom_site_label
_atom_site_fract_x
_atom_site_fract_y
_atom_site_fract_z
Nb1 0.000 0.000 0.000
Co1 0.250 0.250 0.750
Hg1 0.250 0.250 0.250
B1 0.000 0.000 0.500

# GGA-PBE CoHgBPd, relaxed
# energy above the most stable polymorph in this dataset	0.000	eV/atom
data_CoHgBPd
_cell_length_a 6.027
_cell_length_b 6.027
_cell_length_c 6.027
_cell_angle_alpha 90.00
_cell_angle_beta 90.00
_cell_angle_gamma 90.00
_space_group_name_H-M_alt 'F -4 3 m'
_space_group_IT_number 216
_space_group_name_Hall 'F -4 2 3'
loop_
_atom_site_label
_atom_site_fract_x
_atom_site_fract_y
_atom_site_fract_z
Co1 0.000 0.000 0.000
Hg1 0.250 0.250 0.250
B1 0.250 0.250 0.750
Pd1 0.000 0.000 0.500

# GGA-PBE CoHgBPt, relaxed
# energy above the most stable polymorph in this dataset	0.000	eV/atom
data_CoHgBPt
_cell_length_a 6.081
_cell_length_b 6.081
_cell_length_c 6.081
_cell_angle_alpha 90.00
_cell_angle_beta 90.00
_cell_angle_gamma 90.00
_space_group_name_H-M_alt 'F -4 3 m'
_space_group_IT_number 216
_space_group_name_Hall 'F -4 2 3'
loop_
_atom_site_label
_atom_site_fract_x
_atom_site_fract_y
_atom_site_fract_z
Co1 0.000 0.000 0.000
Hg1 0.250 0.250 0.250
B1 0.250 0.250 0.750
Pt1 0.000 0.000 0.500